Entry from the Alexandria database: a geometry-optimized Sr2FeOs structure (PBE).

POSCAR file:
```
Sr2FeOs
1.0
-2.948 -6.395 8.905
10.626 0.603 3.951
3.317 -1.084 7.557
Fe Sr Os
2 4 2
Direct
0.500 0.500 0.000
0.250 0.750 0.500
0.875 0.686 0.750
0.436 0.125 0.250
0.375 0.564 0.750
0.314 0.625 0.250
0.000 0.000 0.000
0.750 0.250 0.500
```

DOS at the Fermi energy	1.36	states/eV per atom
calculated formation energy	74.1	kJ/mol of atoms
M_tot	4.405	μB per cell
final energy	-39.97	eV for the cell shown
distance to the lowest polymorph of the same formula	548	meV per atom